# PBE Ta2SnSe2S4, relaxed
# Total magnetization: 0.00 μB/cell
# Calculated total energy: -6.33 eV/atom
# Energy relative to the elements, uncorrected: -14.85 kcal/mol of atoms
# Calculated density: 5.89 Mg/m³
# D(E_F): 7.39 states/eV per cell
data_Ta2SnSe2S4
_cell_length_a 3.4514
_cell_length_b 3.4514
_cell_length_c 20.9619
_cell_angle_alpha 90.00
_cell_angle_beta 90.00
_cell_angle_gamma 120.00
_symmetry_space_group_name_H-M 'P 3 m 1'
_symmetry_Int_Tables_number 156
_symmetry_space_group_name_Hall 'P 3 -2"'
loop_
_atom_site_label
_atom_site_fract_x
_atom_site_fract_y
_atom_site_fract_z
Ta1 0.0000 0.0000 0.0000
Ta2 0.3333 0.6667 0.3211
Sn1 0.3333 0.6667 0.6738
Se1 0.0000 0.0000 0.5859
Se2 0.0000 0.0000 0.7616
S1 0.0000 0.0000 0.2483
S2 0.0000 0.0000 0.3943
S3 0.3333 0.6667 0.0729
S4 0.3333 0.6667 0.9268